[1]
Material: SiW2O2
Method: DFT, PBE with a Hubbard U
State: optimized geometry

a b c (Å): 6.8965 6.8965 2.7668
angles (deg): 90.00 90.00 90.00
With the nearest neighbours (Å) after each atom.
Fractional positions:
1 O 0.1196 0.6196 0.5000  1 O 2.33, 6 W 2.36-2.60
2 O 0.6196 0.8804 0.5000  1 O 2.33, 6 W 2.36-2.60
3 O 0.3804 0.1196 0.5000  1 O 2.33, 6 W 2.36-2.60
4 O 0.8804 0.3804 0.5000  1 O 2.33, 6 W 2.36-2.60
5 W 0.6550 0.1550 0.0000  6 O 2.36-2.60, 2 Si 2.61
6 W 0.3450 0.8450 0.0000  6 O 2.36-2.60, 2 Si 2.61
7 W 0.1550 0.3450 0.0000  6 O 2.36-2.60, 2 Si 2.61
8 W 0.8450 0.6550 0.0000  6 O 2.36-2.60, 2 Si 2.61
9 Si 0.0000 0.0000 0.0000  4 W 2.61, 2 Si 2.77
10 Si 0.5000 0.5000 0.0000  4 W 2.61, 2 Si 2.77

## Properties
As for the space-group type: P4/mbm (127). The raw total energy comes out at -5.73 eV/atom. For the mass density, the calculation gives 10.8 Mg/m³. The total magnetic moment is 2.94 μB/f.u.



[2]
Material: SiWO5
Method: DFT, PBE with a Hubbard U
State: optimized geometry

a b c (Å): 5.3636 5.3635 7.4634
angles (deg): 109.72 109.72 91.81
With the nearest neighbours (Å) after each atom.
Fractional positions:
1 Si 0.8675 0.6325 0.2500  4 O 1.63-1.64
2 Si 0.1325 0.3675 0.7500  4 O 1.63-1.64
3 O 0.7860 0.3073 0.1426  1 Si 1.63
4 O 0.2488 0.2296 0.9212  1 Si 1.64
5 O 0.7512 0.7704 0.0788  1 Si 1.64
6 O 0.2705 0.2513 0.5788  1 Si 1.64
7 O 0.7295 0.7487 0.4212  1 Si 1.64
8 O 0.8074 0.2860 0.6426  1 Si 1.63
9 O 0.2140 0.6927 0.8574  1 Si 1.63
10 O 0.1926 0.7140 0.3574  1 Si 1.63
11 O 0.4342 0.0658 0.2500  2 W 1.93
12 O 0.5658 0.9342 0.7500  2 W 1.93
13 W 0.5000 0.0000 0.5000  6 O 1.93-1.94
14 W 0.5000 0.0000 0.0000  6 O 1.93-1.94

## Properties
As for the space-group type: C2/c (15). The raw total energy comes out at -7.64 eV/atom. For the mass density, the calculation gives 5.2 Mg/m³. The total magnetic moment is 0.00 μB/f.u.



[3]
Material: SiW2O2
Method: DFT, PBE with a Hubbard U
State: optimized geometry

a b c (Å): 3.3862 3.3862 5.9772
angles (deg): 73.55 73.55 90.00
With the nearest neighbours (Å) after each atom.
Fractional positions:
1 Si 0.0000 0.0000 0.0000  8 W 2.77
2 O 0.2500 0.7500 0.5000  4 W 2.16, 4 O 2.39
3 O 0.7500 0.2500 0.5000  4 W 2.16, 4 O 2.39
4 W 0.6275 0.6275 0.7449  4 O 2.16
5 W 0.3725 0.3725 0.2551  4 O 2.16

## Properties
As for the space-group type: I4/mmm (139). The raw total energy comes out at -6.43 eV/atom. For the mass density, the calculation gives 11.3 Mg/m³. The total magnetic moment is 1.93 μB/f.u.



[4]
Material: Si2WO
Method: DFT, PBE with a Hubbard U
State: optimized geometry

a b c (Å): 5.7791 5.7791 5.2804
angles (deg): 56.82 56.82 90.00
With the nearest neighbours (Å) after each atom.
Fractional positions:
1 Si 0.3750 0.4636 0.7500  2 O 1.91
2 Si 0.5364 0.1250 0.2500  2 O 1.91
3 Si 0.8750 0.7864 0.7500  2 O 1.91
4 Si 0.2136 0.6250 0.2500  2 O 1.91
5 O 0.5000 0.5000 0.0000  4 Si 1.91
6 O 0.2500 0.7500 0.5000  4 Si 1.91
7 W 0.0000 0.0000 0.0000  4 Si 2.57
8 W 0.7500 0.2500 0.5000  4 Si 2.57

## Properties
As for the space-group type: I-42d (122). The raw total energy comes out at -5.65 eV/atom. For the mass density, the calculation gives 7.6 Mg/m³. The total magnetic moment is 2.00 μB/f.u.



[5]
Material: ZnSi4WO10
Method: DFT, PBE with a Hubbard U
State: optimized geometry

a b c (Å): 7.2967 7.2967 15.4475
angles (deg): 90.00 90.00 90.00
With the nearest neighbours (Å) after each atom.
Fractional positions:
1 Si 0.8490 0.2359 0.1499  4 O 1.62-1.65
2 Si 0.3490 0.7359 0.8501  4 O 1.62-1.65
3 Si 0.3490 0.2641 0.3501  4 O 1.62-1.65
4 Si 0.6510 0.7359 0.3501  4 O 1.62-1.65
5 Si 0.8490 0.7641 0.6499  4 O 1.62-1.65
6 Si 0.7359 0.6510 0.1499  4 O 1.62-1.65
7 Si 0.7359 0.3490 0.6499  4 O 1.62-1.65
8 Si 0.2359 0.1510 0.8501  4 O 1.62-1.65
9 Si 0.2641 0.3490 0.1499  4 O 1.62-1.65
10 Si 0.6510 0.2641 0.8501  4 O 1.62-1.65
11 Si 0.7641 0.1510 0.3501  4 O 1.62-1.65
12 Si 0.1510 0.7641 0.1499  4 O 1.62-1.65
13 Si 0.1510 0.2359 0.6499  4 O 1.62-1.65
14 Si 0.7641 0.8490 0.8501  4 O 1.62-1.65
15 Si 0.2359 0.8490 0.3501  4 O 1.62-1.65
16 Si 0.2641 0.6510 0.6499  4 O 1.62-1.65
17 O 0.6759 0.3241 0.7500  2 Si 1.62
18 O 0.7499 0.5684 0.6320  2 Si 1.62-1.63
19 O 0.7759 0.0886 0.0767  1 Si 1.65
20 O 0.9114 0.2241 0.4233  1 Si 1.65
21 O 0.2759 0.5886 0.9233  1 Si 1.65
22 O 0.4316 0.7499 0.3680  2 Si 1.62-1.63
23 O 0.6759 0.6759 0.2500  2 Si 1.62
24 O 0.2501 0.4316 0.6320  2 Si 1.62-1.63
25 O 0.5886 0.7241 0.0767  1 Si 1.65
26 O 0.4114 0.7241 0.5767  1 Si 1.65
27 O 0.3241 0.3241 0.2500  2 Si 1.62
28 O 0.2499 0.0684 0.3680  2 Si 1.62-1.63
29 O 0.7499 0.4316 0.1320  2 Si 1.62-1.63
30 O 0.5684 0.2501 0.3680  2 Si 1.62-1.63
31 O 0.2241 0.9114 0.0767  1 Si 1.65
32 O 0.1759 0.1759 0.7500  2 Si 1.62
33 O 0.7501 0.0684 0.8680  2 Si 1.62-1.63
34 O 0.2759 0.4114 0.4233  1 Si 1.65
35 O 0.5886 0.2759 0.5767  1 Si 1.65
36 O 0.8241 0.1759 0.2500  2 Si 1.62
37 O 0.8241 0.8241 0.7500  2 Si 1.62
38 O 0.2499 0.9316 0.8680  2 Si 1.62-1.63
39 O 0.0886 0.7759 0.4233  1 Si 1.65
40 O 0.2241 0.0886 0.5767  1 Si 1.65
41 O 0.4316 0.2501 0.8680  2 Si 1.62-1.63
42 O 0.7759 0.9114 0.5767  1 Si 1.65
43 O 0.9316 0.7501 0.1320  2 Si 1.62-1.63
44 O 0.9316 0.2499 0.6320  2 Si 1.62-1.63
45 O 0.4114 0.2759 0.0767  1 Si 1.65
46 O 0.2501 0.5684 0.1320  2 Si 1.62-1.63
47 O 0.9114 0.7759 0.9233  1 Si 1.65
48 O 0.7241 0.4114 0.9233  1 Si 1.65
49 O 0.0886 0.2241 0.9233  1 Si 1.65
50 O 0.1759 0.8241 0.2500  2 Si 1.62
51 O 0.0684 0.7501 0.6320  2 Si 1.62-1.63
52 O 0.3241 0.6759 0.7500  2 Si 1.62
53 O 0.7241 0.5886 0.4233  1 Si 1.65
54 O 0.0684 0.2499 0.1320  2 Si 1.62-1.63
55 O 0.5684 0.7499 0.8680  2 Si 1.62-1.63
56 O 0.7501 0.9316 0.3680  2 Si 1.62-1.63
57 Zn 0.5000 0.5000 0.0000  4 O 2.12
58 Zn 0.0000 0.0000 0.5000  4 O 2.12
59 Zn 0.5000 0.5000 0.5000  4 O 2.12
60 Zn 0.0000 0.0000 0.0000  4 O 2.12
61 W 0.0000 0.5000 0.9253  4 O 2.11
62 W 0.5000 0.0000 0.0747  4 O 2.11
63 W 0.5000 0.0000 0.5747  4 O 2.11
64 W 0.0000 0.5000 0.4253  4 O 2.11

## Properties
As for the space-group type: P4/ncc (130). The raw total energy comes out at -7.23 eV/atom. For the mass density, the calculation gives 4.2 Mg/m³. The total magnetic moment is 2.00 μB/f.u.



[6]
Material: ZnSiWO6
Method: DFT, PBE with a Hubbard U
State: optimized geometry

a b c (Å): 4.9419 4.9419 9.0637
angles (deg): 90.00 90.00 120.00
With the nearest neighbours (Å) after each atom.
Fractional positions:
1 O 0.3514 0.3731 0.8617  1 Si 1.81, 1 W 1.95
2 O 0.0217 0.6486 0.8617  1 Si 1.81, 1 W 1.95
3 O 0.3731 0.3514 0.3617  1 Si 1.81, 1 W 1.95
4 O 0.0217 0.3731 0.6383  1 Si 1.81, 1 W 1.95
5 O 0.6486 0.0217 0.3617  1 Si 1.81, 1 W 1.95
6 O 0.3731 0.0217 0.1383  1 Si 1.81, 1 W 1.95
7 O 0.3514 0.9783 0.6383  1 Si 1.81, 1 W 1.95
8 O 0.6486 0.6269 0.1383  1 Si 1.81, 1 W 1.95
9 O 0.9783 0.3514 0.1383  1 Si 1.81, 1 W 1.95
10 O 0.6269 0.9783 0.8617  1 Si 1.81, 1 W 1.95
11 O 0.9783 0.6269 0.3617  1 Si 1.81, 1 W 1.95
12 O 0.6269 0.6486 0.6383  1 Si 1.81, 1 W 1.95
13 Si 0.6667 0.3333 0.2500  6 O 1.81
14 Si 0.3333 0.6667 0.7500  6 O 1.81
15 Zn 0.0000 0.0000 0.0000  6 O 2.19
16 Zn 0.0000 0.0000 0.5000  6 O 2.19
17 W 0.6667 0.3333 0.7500  6 O 1.95
18 W 0.3333 0.6667 0.2500  6 O 1.95

## Properties
As for the space-group type: P-31c (163). The raw total energy comes out at -6.84 eV/atom. For the mass density, the calculation gives 6.5 Mg/m³. The total magnetic moment is 0.00 μB/f.u.



[7]
Material: ZnSi2WO6
Method: DFT, PBE with a Hubbard U
State: optimized geometry

a b c (Å): 6.8942 6.8942 5.4911
angles (deg): 76.89 76.89 86.41
With the nearest neighbours (Å) after each atom.
Fractional positions:
1 O 0.3361 0.3602 0.4772  2 Si 1.66
2 O 0.3974 0.8764 0.3238  1 Si 1.62
3 O 0.1236 0.6026 0.1762  1 Si 1.62
4 O 0.9534 0.8029 0.6554  1 Si 1.67
5 O 0.0466 0.1971 0.3446  1 Si 1.67
6 O 0.8764 0.3974 0.8238  1 Si 1.62
7 O 0.6026 0.1236 0.6762  1 Si 1.62
8 O 0.6639 0.6398 0.5228  2 Si 1.66
9 O 0.3602 0.3361 0.9772  2 Si 1.66
10 O 0.6398 0.6639 0.0228  2 Si 1.66
11 O 0.1971 0.0466 0.8446  1 Si 1.67
12 O 0.8029 0.9534 0.1554  1 Si 1.67
13 Si 0.6204 0.7863 0.2549  4 O 1.62-1.67
14 Si 0.3796 0.2137 0.7451  4 O 1.62-1.67
15 Si 0.2137 0.3796 0.2451  4 O 1.62-1.67
16 Si 0.7863 0.6204 0.7549  4 O 1.62-1.67
17 W 0.8971 0.1029 0.7500  6 O 2.15-2.23
18 W 0.1029 0.8971 0.2500  6 O 2.15-2.23
19 Zn 0.2809 0.7191 0.7500  4 O 2.32-2.44
20 Zn 0.7191 0.2809 0.2500  4 O 2.32-2.44

## Properties
As for the space-group type: C2/c (15). The raw total energy comes out at -6.94 eV/atom. For the mass density, the calculation gives 5.4 Mg/m³. The total magnetic moment is 3.33 μB/f.u.